(1)
{"formula": "PaBr3N", "functional": "PBE", "state": "relaxed", "cell": [[6.099, 0.000, 0.000], [2.341, 5.632, 0.000], [1.694, 1.170, 10.273]], "species": ["Pa", "Pa", "Br", "Br", "Br", "Br", "Br", "Br", "N", "N"], "frac_coords": [[0.000, 0.000, 0.000], [0.499, 0.501, 0.000], [0.219, 0.721, 0.783], [0.281, 0.779, 0.217], [0.518, 0.019, 0.909], [0.633, 0.131, 0.217], [0.867, 0.369, 0.783], [0.981, 0.481, 0.091], [0.548, 0.046, 0.557], [0.952, 0.453, 0.444]], "total_magnetization_mub_per_cell": 8.90, "spacegroup": "P1, No. 1", "e_form_raw_ev_per_atom": 0.004}

(2)
{"formula": "SrAsRu2", "functional": "PBE", "state": "relaxed", "cell": [[7.535, 0.000, 0.000], [0.000, 4.353, 0.000], [-2.502, 0.000, 5.508]], "species": ["Sr", "Sr", "As", "As", "Ru", "Ru", "Ru", "Ru"], "frac_coords": [[0.000, 0.000, 0.000], [0.500, 0.500, 0.000], [0.000, 0.500, 0.500], [0.500, 0.000, 0.500], [0.188, 0.000, 0.565], [0.312, 0.500, 0.435], [0.688, 0.500, 0.565], [0.812, 0.000, 0.435]], "total_magnetization_mub_per_cell": 3.31, "spacegroup": "C2/m, No. 12", "ef_ev_per_atom": -0.094}

(3)
{"formula": "CeHf2TiO8", "functional": "PBE", "state": "relaxed", "cell": [[4.870, 0.000, 0.000], [0.000, 6.546, 0.000], [-0.070, 0.000, 4.873]], "species": ["Ce", "Hf", "Hf", "Ti", "O", "O", "O", "O", "O", "O", "O", "O"], "frac_coords": [[0.000, 0.000, 0.000], [0.500, 0.261, 0.500], [0.500, 0.739, 0.500], [0.000, 0.500, 0.000], [0.195, 0.279, 0.193], [0.195, 0.721, 0.193], [0.299, 0.500, 0.700], [0.318, 0.000, 0.680], [0.682, 0.000, 0.320], [0.701, 0.500, 0.300], [0.805, 0.279, 0.807], [0.805, 0.721, 0.807]], "total_magnetization_mub_per_cell": 0.00, "spacegroup": "P2/m, No. 10", "e_form_raw_ev_per_atom": -3.313}